1.
Here is an optimized crystal structure of Cd2SbPbO6 from Alexandria. Energies are from PBE.

Unit cell a=5.993 b=5.993 c=5.993 alpha=57.18 beta=57.18 gamma=57.18
Element x y z (fractional)
Cd 0.000 0.000 0.000
Cd 0.490 0.490 0.490
Sb 0.781 0.781 0.781
Pb 0.270 0.270 0.270
O 0.036 0.430 0.674
O 0.139 0.882 0.587
O 0.430 0.674 0.036
O 0.587 0.139 0.882
O 0.674 0.036 0.430
O 0.882 0.587 0.139

Summary:
Formation energy without anion corrections   -1.16 eV per atom

2.
Here is an optimized crystal structure of CoHgPt from Alexandria. Energies are from PBE.

Unit cell a=6.135 b=6.135 c=6.135 alpha=152.88 beta=152.88 gamma=38.73
Element x y z (fractional)
Co 0.000 0.000 0.000
Hg 0.671 0.671 0.000
Pt 0.363 0.363 0.000

Summary:
ΔH_f (0 K)   159 meV/atom

3.
Here is an optimized crystal structure of TiFe4Si from Alexandria. Energies are from PBE.

Unit cell a=4.706 b=4.706 c=4.706 alpha=60.00 beta=60.00 gamma=60.00
Element x y z (fractional)
Ti 0.000 0.000 0.000
Fe 0.375 0.375 0.375
Fe 0.375 0.375 0.874
Fe 0.375 0.874 0.375
Fe 0.874 0.375 0.375
Si 0.750 0.750 0.750

Summary:
Formation energy without anion corrections   -0.20 eV per atom

4.
Here is an optimized crystal structure of CaSc2Se from Alexandria. Energies are from PBE.

Unit cell a=9.401 b=9.401 c=9.401 alpha=22.65 beta=22.65 gamma=22.65
Element x y z (fractional)
Ca 0.000 0.000 0.000
Sc 0.225 0.225 0.225
Sc 0.775 0.775 0.775
Se 0.500 0.500 0.500

Summary:
Formation energy without anion corrections   -0.67 eV per atom

5.
Here is an optimized crystal structure of ZnInSe2Br from Alexandria. Energies are from PBE.

Unit cell a=5.337 b=5.337 c=5.385 alpha=90.00 beta=90.00 gamma=90.00
Element x y z (fractional)
Zn 0.000 0.000 0.000
In 0.500 0.500 0.500
Se 0.000 0.500 0.500
Se 0.500 0.000 0.500
Br 0.500 0.500 0.000

Summary:
Formation energy without anion corrections   0.23 eV per atom

6.
Here is an optimized crystal structure of Pm3Tm3Tl2 from Alexandria. Energies are from PBE.

Unit cell a=6.455 b=6.455 c=16.645 alpha=90.00 beta=90.00 gamma=133.82
Element x y z (fractional)
Pm 0.047 0.953 0.604
Pm 0.047 0.953 0.896
Pm 0.283 0.717 0.750
Pm 0.717 0.283 0.250
Pm 0.953 0.047 0.104
Pm 0.953 0.047 0.396
Tm 0.364 0.636 0.541
Tm 0.364 0.636 0.959
Tm 0.434 0.566 0.250
Tm 0.566 0.434 0.750
Tm 0.636 0.364 0.041
Tm 0.636 0.364 0.459
Tl 0.237 0.763 0.124
Tl 0.237 0.763 0.376
Tl 0.763 0.237 0.624
Tl 0.763 0.237 0.876

Summary:
ΔH_f (0 K)   -114 meV/atom

7.
Here is an optimized crystal structure of YPBrCl2 from Alexandria. Energies are from PBE.

Unit cell a=5.098 b=5.098 c=5.085 alpha=90.00 beta=90.00 gamma=90.00
Element x y z (fractional)
Y 0.000 0.000 0.000
P 0.500 0.500 0.000
Br 0.500 0.500 0.500
Cl 0.000 0.500 0.500
Cl 0.500 0.000 0.500

Summary:
Formation energy without anion corrections   0.18 eV per atom

8.
Here is an optimized crystal structure of KPRu from Alexandria. Energies are from PBE.

Unit cell a=4.402 b=4.402 c=4.402 alpha=60.00 beta=60.00 gamma=60.00
Element x y z (fractional)
K 0.000 0.000 0.000
P 0.500 0.500 0.500
Ru 0.250 0.250 0.250

Summary:
ΔH_f (0 K)   822 meV/atom